A relaxed Sm3Dy3Er2 crystal. Source: Alexandria via LeMat-Bulk, functional PBE.

Unit cell a=8.4668 b=8.4668 c=8.4668 alpha=139.07 beta=139.06 gamma=59.28
Fractional coordinates of all 8 atoms:
Sm  0.0000  0.0000  0.0000
Sm  0.3729  0.8729  0.5000
Sm  0.6271  0.1271  0.5000
Dy  0.1254  0.6254  0.5000
Dy  0.5000  0.5000  0.0000
Dy  0.8746  0.3746  0.5000
Er  0.2510  0.2510  0.0000
Er  0.7490  0.7490  0.0000

Results
mass density	8.19	g/cm³
total magnetic moment	0.0	μB/cell
ΔH_f (0 K)	0.13	eV/atom
SG	Immm (71)